Record 1
The following is a DFT calculation (PBE-GGA) of a relaxed structure of FeMo3N.

Summary:
E_tot ... -7.6753 eV/atom
Distance to the lowest polymorph of the same formula ... 2.110 eV per atom
Formation energy from raw total energies ... 2181 meV/atom

abc: 4.4122 4.4122 4.4122
angles: 90.00 90.00 90.00
With the nearest neighbours (Å) after each atom.
Fractional coordinates of all 5 atoms:
1 Mo 0.0000 0.5000 0.0000  2 Fe 2.21
2 Mo 0.0000 0.0000 0.5000  2 Fe 2.21
3 Mo 0.5000 0.0000 0.0000  2 Fe 2.21
4 Fe 0.0000 0.0000 0.0000  6 Mo 2.21
5 N 0.5000 0.5000 0.5000  12 Mo 3.12

Record 2
The following is a DFT calculation (PBE-GGA) of a relaxed structure of LaRe.

Summary:
E_tot ... -8.0619 eV/atom
Distance to the lowest polymorph of the same formula ... 0.474 eV per atom
DFT formation energy ... 1.252 eV/f.u.

abc: 3.0616 3.0616 10.8577
angles: 90.00 90.00 120.00
With the nearest neighbours (Å) after each atom.
Fractional coordinates of all 4 atoms:
1 La 0.0000 0.0000 0.9642  6 La 3.06, 3 Re 3.27
2 La 0.3333 0.6667 0.2858  6 La 3.06, 3 Re 3.27
3 Re 0.0000 0.0000 0.5393  3 Re 2.57
4 Re 0.3333 0.6667 0.7107  3 Re 2.57

Record 3
The following is a DFT calculation (PBE-GGA) of a relaxed structure of Ce6ThSe12.

Summary:
E_tot ... -6.2052 eV/atom
Formation energy from raw total energies ... -1740 meV/atom

abc: 8.4769 8.4769 8.4769
angles: 99.66 99.66 99.66
With the nearest neighbours (Å) after each atom.
Fractional coordinates of all 19 atoms:
1 Ce 0.1383 0.3103 0.6231  6 Se 2.91-3.03
2 Ce 0.6897 0.3769 0.8617  6 Se 2.91-3.03
3 Ce 0.3769 0.8617 0.6897  6 Se 2.91-3.03
4 Ce 0.8617 0.6897 0.3769  6 Se 2.91-3.03
5 Ce 0.3103 0.6231 0.1383  6 Se 2.91-3.03
6 Ce 0.6231 0.1383 0.3103  6 Se 2.91-3.03
7 Th 0.0000 0.0000 0.0000  6 Se 2.87
8 Se 0.4282 0.1770 0.5782  4 Ce 2.93-3.03
9 Se 0.1770 0.5782 0.4282  4 Ce 2.93-3.03
10 Se 0.5782 0.4282 0.1770  4 Ce 2.93-3.03
11 Se 0.5718 0.8230 0.4218  4 Ce 2.93-3.03
12 Se 0.8230 0.4218 0.5718  4 Ce 2.93-3.03
13 Se 0.4218 0.5718 0.8230  4 Ce 2.93-3.03
14 Se 0.0495 0.9305 0.6711  1 Th 2.87, 2 Ce 2.91-2.97
15 Se 0.3289 0.9505 0.0695  1 Th 2.87, 2 Ce 2.91-2.97
16 Se 0.0695 0.3289 0.9505  1 Th 2.87, 2 Ce 2.91-2.97
17 Se 0.9505 0.0695 0.3289  1 Th 2.87, 2 Ce 2.91-2.97
18 Se 0.6711 0.0495 0.9305  1 Th 2.87, 2 Ce 2.91-2.97
19 Se 0.9305 0.6711 0.0495  1 Th 2.87, 2 Ce 2.91-2.97

Record 4
The following is a DFT calculation (PBE-GGA) of a relaxed structure of DyY6Ho3Th2.

Summary:
E_tot ... -5.9690 eV/atom
DFT formation energy ... 0.332 eV/f.u.

abc: 6.1713 6.1713 11.7828
angles: 95.02 95.02 119.96
With the nearest neighbours (Å) after each atom.
Fractional coordinates of all 12 atoms:
1 Dy 0.0000 0.0000 0.0000  6 Y 3.55-3.56, 6 Th 3.56
2 Y 0.9168 0.5802 0.7517  2 Th 3.53, 6 Y 3.54-3.60, 1 Dy 3.55, 3 Ho 3.56-3.58
3 Y 0.7464 0.7464 0.2487  2 Th 3.54, 6 Y 3.54-3.60, 1 Dy 3.56, 3 Ho 3.56-3.57
4 Y 0.0832 0.4198 0.2483  2 Th 3.53, 6 Y 3.54-3.60, 1 Dy 3.55, 3 Ho 3.56-3.58
5 Y 0.5802 0.9168 0.7517  2 Th 3.53, 6 Y 3.54-3.60, 1 Dy 3.55, 3 Ho 3.56-3.58
6 Y 0.2536 0.2536 0.7513  2 Th 3.54, 6 Y 3.54-3.60, 1 Dy 3.56, 3 Ho 3.56-3.57
7 Y 0.4198 0.0832 0.2483  2 Th 3.53, 6 Y 3.54-3.60, 1 Dy 3.55, 3 Ho 3.56-3.58
8 Ho 0.1664 0.8336 0.5000  6 Ho 3.56-3.57, 6 Y 3.56-3.58
9 Ho 0.8336 0.1664 0.5000  6 Ho 3.56-3.57, 6 Y 3.56-3.58
10 Ho 0.5000 0.5000 0.5000  6 Y 3.56-3.58, 6 Ho 3.56-3.57
11 Th 0.3334 0.6666 0.0000  6 Y 3.53-3.54, 3 Th 3.56-3.57, 3 Dy 3.56
12 Th 0.6666 0.3334 0.0000  6 Y 3.53-3.54, 3 Th 3.56-3.57, 3 Dy 3.56

Record 5
The following is a DFT calculation (PBE-GGA) of a relaxed structure of Cu4SnPd7.

Summary:
E_tot ... -4.9162 eV/atom
Distance to the lowest polymorph of the same formula ... 0.000 eV per atom
DFT formation energy ... -2.257 eV/f.u.

abc: 4.3710 4.3708 10.7429
angles: 90.00 90.00 120.00
With the nearest neighbours (Å) after each atom.
Fractional coordinates of all 12 atoms:
1 Cu 0.3333 0.6667 0.9097  1 Cu 2.48, 7 Pd 2.57-2.70
2 Cu 0.6667 0.3333 0.0903  1 Cu 2.48, 7 Pd 2.57-2.70
3 Cu 0.3333 0.6667 0.6791  1 Cu 2.48, 6 Pd 2.62-2.71
4 Cu 0.6667 0.3333 0.3209  1 Cu 2.48, 6 Pd 2.62-2.71
5 Sn 0.0000 0.0000 0.5000  8 Pd 2.64-2.69
6 Pd 0.0000 0.0000 0.0000  6 Cu 2.70, 8 Pd 2.73-2.99
7 Pd 0.3333 0.6667 0.4125  3 Sn 2.69, 4 Cu 2.71-2.86, 1 Pd 2.83
8 Pd 0.6667 0.3333 0.5875  3 Sn 2.69, 4 Cu 2.71-2.86, 1 Pd 2.83
9 Pd 0.3333 0.6667 0.1491  4 Cu 2.57-2.60, 4 Pd 2.77-2.83
10 Pd 0.6667 0.3333 0.8509  4 Cu 2.57-2.60, 4 Pd 2.77-2.83
11 Pd 0.0000 0.0000 0.7456  3 Cu 2.62, 1 Sn 2.64, 4 Pd 2.73-2.77
12 Pd 0.0000 0.0000 0.2544  3 Cu 2.62, 1 Sn 2.64, 4 Pd 2.73-2.77

Record 6
The following is a DFT calculation (PBE-GGA) of a relaxed structure of ZnSiNO2.

Summary:
E_tot ... -4.3043 eV/atom
Formation energy from raw total energies ... 683 meV/atom

abc: 3.9469 3.9469 3.7998
angles: 90.00 90.00 90.00
With the nearest neighbours (Å) after each atom.
Fractional coordinates of all 5 atoms:
1 Zn 0.0000 0.0000 0.0000  2 N 1.90, 4 O 1.97
2 Si 0.5000 0.5000 0.5000  8 O 2.74, 4 N 2.79
3 O 0.0000 0.5000 0.0000  2 Zn 1.97
4 O 0.5000 0.0000 0.0000  2 Zn 1.97
5 N 0.0000 0.0000 0.5000  2 Zn 1.90

Record 7
The following is a DFT calculation (PBE-GGA) of a relaxed structure of Sm2ZrSc.

Summary:
E_tot ... -5.8902 eV/atom
Distance to the lowest polymorph of the same formula ... 0.081 eV per atom
DFT formation energy ... 0.757 eV/f.u.

abc: 5.4117 5.4117 5.4117
angles: 60.00 60.00 60.00
With the nearest neighbours (Å) after each atom.
Fractional coordinates of all 4 atoms:
1 Sc 0.5000 0.5000 0.5000  8 Sm 3.31
2 Zr 0.0000 0.0000 0.0000  8 Sm 3.31
3 Sm 0.2500 0.2500 0.2500  4 Zr 3.31, 4 Sc 3.31
4 Sm 0.7500 0.7500 0.7500  4 Sc 3.31, 4 Zr 3.31

Record 8
The following is a DFT calculation (PBE-GGA) of a relaxed structure of HfCo2As2.

Summary:
E_tot ... -7.0815 eV/atom
DFT formation energy ... -1.943 eV/f.u.

abc: 3.8462 3.8462 5.6547
angles: 70.12 70.12 90.00
With the nearest neighbours (Å) after each atom.
Fractional coordinates of all 5 atoms:
1 Co 0.7500 0.2500 0.5000  4 As 2.29
2 Co 0.2500 0.7500 0.5000  4 As 2.29
3 As 0.3755 0.3755 0.2491  4 Co 2.29, 1 As 2.47
4 As 0.6245 0.6245 0.7509  4 Co 2.29, 1 As 2.47
5 Hf 0.0000 0.0000 0.0000  8 As 2.99, 8 Co 3.14

Record 9
The following is a DFT calculation (PBE-GGA) of a relaxed structure of Sc6AgPd8.

Summary:
E_tot ... -6.1295 eV/atom
DFT formation energy ... -9.559 eV/f.u.

abc: 7.8058 7.8058 7.0613
angles: 56.45 56.45 60.00
With the nearest neighbours (Å) after each atom.
Fractional coordinates of all 15 atoms:
1 Sc 0.4034 0.1322 0.8038  7 Pd 2.60-2.91
2 Sc 0.8678 0.3394 0.1962  7 Pd 2.60-2.91
3 Sc 0.3394 0.5966 0.1962  7 Pd 2.60-2.91
4 Sc 0.6606 0.4034 0.8038  7 Pd 2.60-2.91
5 Sc 0.1322 0.6606 0.8038  7 Pd 2.60-2.91
6 Sc 0.5966 0.8678 0.1962  7 Pd 2.60-2.91
7 Ag 0.0000 0.0000 0.0000  6 Pd 2.87, 6 Sc 3.12
8 Pd 0.5888 0.1677 0.3241  5 Sc 2.60-2.91, 2 Pd 2.75-2.80, 1 Ag 2.87
9 Pd 0.8323 0.0805 0.6759  5 Sc 2.60-2.91, 2 Pd 2.75-2.80, 1 Ag 2.87
10 Pd 0.0805 0.4112 0.6759  5 Sc 2.60-2.91, 2 Pd 2.75-2.80, 1 Ag 2.87
11 Pd 0.7173 0.7173 0.8480  6 Sc 2.80-2.90, 3 Pd 2.80
12 Pd 0.2827 0.2827 0.1520  6 Sc 2.80-2.90, 3 Pd 2.80
13 Pd 0.9195 0.5888 0.3241  5 Sc 2.60-2.91, 2 Pd 2.75-2.80, 1 Ag 2.87
14 Pd 0.1677 0.9195 0.3241  5 Sc 2.60-2.91, 2 Pd 2.75-2.80, 1 Ag 2.87
15 Pd 0.4112 0.8323 0.6759  5 Sc 2.60-2.91, 2 Pd 2.75-2.80, 1 Ag 2.87

Record 10
The following is a DFT calculation (PBE-GGA) of a relaxed structure of LiTi2BiPb.

Summary:
E_tot ... -4.4763 eV/atom
DFT formation energy ... 2.912 eV/f.u.

abc: 5.2506 4.7942 5.2506
angles: 90.00 90.00 90.00
With the nearest neighbours (Å) after each atom.
Fractional coordinates of all 5 atoms:
1 Pb 0.0000 0.0000 0.0000  2 Li 2.40, 4 Ti 2.63
2 Li 0.0000 0.5000 0.0000  2 Pb 2.40
3 Bi 0.5000 0.5000 0.5000  8 Ti 3.56, 4 Li 3.71
4 Ti 0.0000 0.0000 0.5000  2 Pb 2.63
5 Ti 0.5000 0.0000 0.0000  2 Pb 2.63

Number 1: spin magnetization 0.00 μB per formula unit. Number 2: spin magnetization 0.00 μB per formula unit. Number 3: spin magnetization 4.03 μB per formula unit. Number 4: spin magnetization 0.00 μB per formula unit. Number 5: spin magnetization 0.00 μB per formula unit. Number 6: spin magnetization 2.20 μB per formula unit. Number 7: spin magnetization 1.10 μB per formula unit. Number 8: spin magnetization 1.11 μB per formula unit. Number 9: spin magnetization 0.00 μB per formula unit. Number 10: spin magnetization 2.08 μB per formula unit.